Ac2LaCrO6: optimized geometry, PBE+U.

Unit cell a=10.263 b=5.934 c=6.063 alpha=90.00 beta=123.02 gamma=90.00
Space group C2/m (No. 12)
Unique sites:
Ac (0.244, 0.000, 0.222) x4
La (0.000, 0.000, 0.500) x2
Cr (0.000, 0.500, 0.000) x2
O (0.067, 0.261, 0.840) x8
O (0.228, 0.500, 0.338) x4

Computed properties:
density of states at the Fermi level = 0.0 states/eV/cell
uncorrected energy = -160.04 eV per cell
V = 15.480 Å³/atom
theoretical density = 7.9 g cm⁻³